This record from the Alexandria database describes crystalline LiCaSeBrF at its relaxed geometry. The functional is PBE.

Crystal system = monoclinic
Energy above the most stable polymorph in this dataset = 24 meV/atom
Formation energy without anion corrections = -1.93 eV/atom

a b c (Å): 6.037 6.037 6.902
angles (deg): 119.56 119.56 33.20
Fractional positions:
1 Li 0.000 0.000 0.000
2 Ca 0.665 0.665 0.538
3 Se 0.952 0.952 0.586
4 Br 0.323 0.323 0.945
5 F 0.127 0.127 0.308



This record from the Alexandria database describes crystalline LaMgMo2As at its relaxed geometry. The functional is PBE.

Crystal system = tetragonal
E_form = 856 kJ/mol of formula units

a b c (Å): 4.848 4.848 5.635
angles (deg): 90.00 90.00 90.00
Fractional positions:
1 La 0.000 0.000 0.000
2 Mg 0.500 0.500 0.500
3 Mo 0.000 0.500 0.000
4 Mo 0.500 0.000 0.000
5 As 0.000 0.000 0.500



This record from the Alexandria database describes crystalline BaMg5Cd2 at its relaxed geometry. The functional is PBE.

Crystal system = orthorhombic
E_form = -105 kJ/mol of formula units

a b c (Å): 7.416 7.416 7.416
angles (deg): 143.75 110.25 81.23
Fractional positions:
1 Ba 0.000 0.000 0.000
2 Mg 0.167 0.351 0.815
3 Mg 0.464 0.649 0.815
4 Mg 0.500 0.000 0.500
5 Mg 0.536 0.351 0.185
6 Mg 0.833 0.649 0.185
7 Cd 0.246 0.746 0.500
8 Cd 0.754 0.254 0.500



This record from the Alexandria database describes crystalline BaNaDySe3 at its relaxed geometry. The functional is PBE.

Crystal system = monoclinic
Formation energy without anion corrections = -1.68 eV/atom

a b c (Å): 8.838 4.378 9.608
angles (deg): 90.00 106.47 90.00
Fractional positions:
1 Ba 0.216 0.250 0.245
2 Ba 0.784 0.750 0.755
3 Na 0.090 0.250 0.587
4 Na 0.910 0.750 0.413
5 Dy 0.325 0.750 0.846
6 Dy 0.675 0.250 0.154
7 Se 0.112 0.250 0.876
8 Se 0.252 0.750 0.528
9 Se 0.456 0.750 0.155
10 Se 0.544 0.250 0.845
11 Se 0.748 0.250 0.472
12 Se 0.888 0.750 0.124



This record from the Alexandria database describes crystalline KZnFe2 at its relaxed geometry. The functional is PBE.

Crystal system = cubic
E_form = 410 kJ/mol of formula units

a b c (Å): 4.701 4.701 4.701
angles (deg): 60.00 60.00 60.00
Fractional positions:
1 K 0.000 0.000 0.000
2 Zn 0.750 0.750 0.750
3 Fe 0.250 0.250 0.250
4 Fe 0.500 0.500 0.500



This record from the Alexandria database describes crystalline Pm4Ga12Tc at its relaxed geometry. The functional is PBE.

Crystal system = cubic
E_form = -911 kJ/mol of formula units

a b c (Å): 7.590 7.590 7.590
angles (deg): 109.47 109.47 109.47
Fractional positions:
1 Pm 0.000 0.000 0.500
2 Pm 0.000 0.500 0.000
3 Pm 0.500 0.000 0.000
4 Pm 0.500 0.500 0.500
5 Ga 0.000 0.290 0.290
6 Ga 0.000 0.710 0.710
7 Ga 0.250 0.500 0.750
8 Ga 0.250 0.750 0.500
9 Ga 0.290 0.000 0.290
10 Ga 0.290 0.290 0.000
11 Ga 0.500 0.250 0.750
12 Ga 0.500 0.750 0.250
13 Ga 0.710 0.000 0.710
14 Ga 0.710 0.710 0.000
15 Ga 0.750 0.250 0.500
16 Ga 0.750 0.500 0.250
17 Tc 0.000 0.000 0.000



This record from the Alexandria database describes crystalline Y3MgAu at its relaxed geometry. The functional is PBE.

Crystal system = cubic
Energy above the most stable polymorph in this dataset = 0 meV/atom
E_form = -12 kJ/mol of formula units

a b c (Å): 5.558 5.558 5.558
angles (deg): 90.00 90.00 90.00
Fractional positions:
1 Y 0.000 0.000 0.500
2 Y 0.000 0.500 0.000
3 Y 0.500 0.000 0.000
4 Mg 0.500 0.500 0.500
5 Au 0.000 0.000 0.000



This record from the Alexandria database describes crystalline NaEuHgP at its relaxed geometry. The functional is PBE.

Crystal system = cubic
E_form = -220 kJ/mol of formula units

a b c (Å): 5.160 5.160 5.160
angles (deg): 60.00 60.00 60.00
Fractional positions:
1 Na 0.000 0.000 0.000
2 Eu 0.500 0.500 0.500
3 Hg 0.250 0.250 0.250
4 P 0.750 0.750 0.750



This record from the Alexandria database describes crystalline TmGeRh2 at its relaxed geometry. The functional is PBE.

Crystal system = orthorhombic
E_form = -309 kJ/mol of formula units

a b c (Å): 4.244 5.844 5.758
angles (deg): 90.00 90.00 90.00
Fractional positions:
1 Tm 0.250 0.250 0.132
2 Tm 0.750 0.750 0.868
3 Ge 0.250 0.750 0.314
4 Ge 0.750 0.250 0.686
5 Rh 0.250 0.017 0.661
6 Rh 0.250 0.483 0.661
7 Rh 0.750 0.517 0.339
8 Rh 0.750 0.983 0.339



This record from the Alexandria database describes crystalline Ce2Si2Rh3 at its relaxed geometry. The functional is PBE.

Crystal system = monoclinic
Formation energy without anion corrections = -0.90 eV/atom

a b c (Å): 5.623 5.623 6.999
angles (deg): 112.15 112.15 38.29
Fractional positions:
1 Ce 0.131 0.131 0.282
2 Ce 0.869 0.869 0.718
3 Si 0.155 0.155 0.736
4 Si 0.845 0.845 0.264
5 Rh 0.375 0.375 0.061
6 Rh 0.500 0.500 0.500
7 Rh 0.625 0.625 0.939



This record from the Alexandria database describes crystalline AgMoRu2 at its relaxed geometry. The functional is PBE.

Crystal system = tetragonal
Energy above the most stable polymorph in this dataset = 337 meV/atom
E_form = 207 kJ/mol of formula units

a b c (Å): 3.315 3.315 5.814
angles (deg): 90.00 90.00 90.00
Fractional positions:
1 Ag 0.000 0.000 0.000
2 Mo 0.500 0.500 0.302
3 Ru 0.000 0.000 0.487
4 Ru 0.500 0.500 0.726



This record from the Alexandria database describes crystalline La2Al4Ag3Pd at its relaxed geometry. The functional is PBE.

Crystal system = tetragonal
E_form = -453 kJ/mol of formula units

a b c (Å): 4.458 4.458 10.686
angles (deg): 90.00 90.00 90.00
Fractional positions:
1 La 0.000 0.500 0.246
2 La 0.500 0.000 0.754
3 Al 0.000 0.000 0.500
4 Al 0.000 0.500 0.878
5 Al 0.500 0.000 0.122
6 Al 0.500 0.500 0.500
7 Ag 0.000 0.000 0.000
8 Ag 0.000 0.500 0.635
9 Ag 0.500 0.000 0.365
10 Pd 0.500 0.500 0.000